No. 1
PBE-GGA InCuPtRh, relaxed; calculated total energy = -5.35 eV per atom; Fermi-level density of states = 1.00 states/eV/f.u.; E_form = -0.2916 eV/atom; excess energy over the best structure of this formula in the dataset = 0 meV per atom
1.0
0.000 3.143 3.143
3.143 0.000 3.143
3.143 3.143 0.000
In Cu Pt Rh
1 1 1 1
Direct
0.000 0.000 0.000 In
0.500 0.500 0.500 Cu
0.750 0.750 0.750 Pt
0.250 0.250 0.250 Rh

---

No. 2
PBE-GGA Zr2SbAs2, relaxed; calculated total energy = -6.76 eV per atom; Fermi-level density of states = 2.67 states/eV/f.u.; excess energy over the best structure of this formula in the dataset = 108 meV per atom
1.0
-1.928 1.928 7.214
1.928 -1.928 7.214
1.928 1.928 -7.214
Zr Sb As
2 1 2
Direct
0.109 0.109 0.000 Zr
0.891 0.891 0.000 Zr
0.500 0.500 0.000 Sb
0.250 0.750 0.500 As
0.750 0.250 0.500 As

---

> Look up the calculated total energy of the second one.

-6.76 eV per atom

---

> Among the records above, which one has the lowest excess energy over the best structure of this formula in the dataset?

InCuPtRh

---

> Among the records above, which one has the lowest calculated total energy?

Zr2SbAs2